[1]
Mg2CrCu: relaxed, PBEsol.

Computed properties:
SG = No. 119
E_form = 0.342 eV per atom
V = 65 Å³ per cell
E_tot = -4.1604 eV/atom
Theoretical density = 4.2 Mg/m³

a b c (Å): 4.8677 4.8677 4.8677
angles (deg): 130.47 130.47 72.66
Last column: nearest neighbours and their distance in Å.
Atoms (fractional coordinates):
Mg 0.0000 0.0000 0.0000  4 Mg 2.83, 4 Cu 2.83, 4 Cr 2.88
Mg 0.7500 0.2500 0.5000  4 Cr 2.83, 4 Mg 2.83, 4 Cu 2.88
Cr 0.5000 0.5000 0.0000  8 Mg 2.83-2.88, 4 Cu 2.83
Cu 0.2500 0.7500 0.5000  4 Cr 2.83, 8 Mg 2.83-2.88


[2]
Al2Ag: relaxed, PBEsol.

Computed properties:
SG = No. 47
E_form = -0.017 eV per atom
V = 98 Å³ per cell
E_tot = -3.8487 eV/atom
Theoretical density = 5.5 Mg/m³

a b c (Å): 2.8591 3.9449 8.6494
angles (deg): 90.00 90.00 90.00
Last column: nearest neighbours and their distance in Å.
Atoms (fractional coordinates):
Al 0.0000 0.0000 0.0000  8 Ag 2.84, 4 Al 2.86-2.89
Al 0.0000 0.0000 0.3338  4 Ag 2.82, 8 Al 2.83-2.89
Al 0.0000 0.0000 0.6662  4 Ag 2.82, 8 Al 2.83-2.89
Al 0.5000 0.5000 0.5000  10 Al 2.83-2.86, 2 Ag 2.86
Ag 0.5000 0.5000 0.1693  9 Al 2.82-2.86, 3 Ag 2.86-2.93
Ag 0.5000 0.5000 0.8307  9 Al 2.82-2.86, 3 Ag 2.86-2.93


[3]
MgAgAu2: relaxed, PBEsol.

Computed properties:
SG = No. 139
E_form = -0.365 eV per atom
V = 68 Å³ per cell
E_tot = -3.5843 eV/atom
Theoretical density = 12.9 Mg/m³

a b c (Å): 4.9202 4.9202 4.9202
angles (deg): 130.39 130.39 72.78
Last column: nearest neighbours and their distance in Å.
Atoms (fractional coordinates):
Mg 0.0000 0.0000 0.0000  8 Au 2.86, 4 Ag 2.92
Ag 0.5000 0.5000 0.0000  8 Au 2.86, 4 Mg 2.92
Au 0.2500 0.7500 0.5000  4 Mg 2.86, 4 Ag 2.86, 4 Au 2.92
Au 0.7500 0.2500 0.5000  4 Mg 2.86, 4 Ag 2.86, 4 Au 2.92


[4]
Be2SbS: relaxed, PBEsol.

Computed properties:
SG = No. 225
V = 60 Å³ per cell
Formation energy without anion corrections = 2.60 eV/f.u.
E_tot = -3.5849 eV/atom
Theoretical density = 4.8 Mg/m³

a b c (Å): 4.3883 4.3883 4.3883
angles (deg): 60.00 60.00 60.00
Last column: nearest neighbours and their distance in Å.
Atoms (fractional coordinates):
Be 0.2500 0.2500 0.2500  4 S 2.69, 4 Sb 2.69
Be 0.7500 0.7500 0.7500  4 S 2.69, 4 Sb 2.69
Sb 0.0000 0.0000 0.0000  8 Be 2.69
S 0.5000 0.5000 0.5000  8 Be 2.69


[5]
Mg2BAuBr: relaxed, PBEsol.

Computed properties:
SG = No. 123
V = 109 Å³ per cell
Formation energy without anion corrections = -0.32 eV/f.u.
E_tot = -3.3134 eV/atom
Theoretical density = 5.1 Mg/m³

a b c (Å): 5.2226 5.2226 4.0085
angles (deg): 90.00 90.00 90.00
Last column: nearest neighbours and their distance in Å.
Atoms (fractional coordinates):
Mg 0.0000 0.5000 0.0000  2 Au 2.61
Mg 0.5000 0.0000 0.0000  2 Au 2.61
B 0.0000 0.0000 0.5000  2 Au 2.00
Au 0.0000 0.0000 0.0000  2 B 2.00
Br 0.5000 0.5000 0.5000  8 Mg 3.29


[6]
Zn3P2O8: relaxed, PBEsol.

Computed properties:
SG = No. 15
Distance to the lowest polymorph of the same formula = 0.0000 eV/atom
V = 339 Å³ per cell
Formation energy without anion corrections = -25.21 eV/f.u.
E_tot = -6.4254 eV/atom
Theoretical density = 3.8 Mg/m³

a b c (Å): 4.9836 4.9836 15.1569
angles (deg): 102.28 102.28 68.65
Last column: nearest neighbours and their distance in Å.
Atoms (fractional coordinates):
Zn 0.1742 0.2793 0.9328  4 O 1.89-2.01
Zn 0.2500 0.7500 0.7500  4 O 1.90-1.99
Zn 0.2793 0.1742 0.4328  4 O 1.89-2.01
Zn 0.7207 0.8258 0.5672  4 O 1.89-2.01
Zn 0.7500 0.2500 0.2500  4 O 1.90-1.99
Zn 0.8258 0.7207 0.0672  4 O 1.89-2.01
P 0.0918 0.2322 0.6286  4 O 1.52-1.57
P 0.2322 0.0918 0.1286  4 O 1.52-1.57
P 0.7678 0.9082 0.8714  4 O 1.52-1.57
P 0.9082 0.7678 0.3714  4 O 1.52-1.57
O 0.0234 0.9664 0.6467  1 P 1.57
O 0.0336 0.9766 0.8533  1 P 1.57
O 0.1077 0.3247 0.0618  1 P 1.57
O 0.1867 0.5698 0.4212  1 P 1.53
O 0.2179 0.3708 0.7198  1 P 1.52
O 0.3247 0.1077 0.5618  1 P 1.57
O 0.3708 0.2179 0.2198  1 P 1.52
O 0.4302 0.8133 0.0788  1 P 1.53
O 0.5698 0.1867 0.9212  1 P 1.53
O 0.6292 0.7821 0.7802  1 P 1.52
O 0.6753 0.8923 0.4382  1 P 1.57
O 0.7821 0.6292 0.2802  1 P 1.52
O 0.8133 0.4302 0.5788  1 P 1.53
O 0.8923 0.6753 0.9382  1 P 1.57
O 0.9664 0.0234 0.1467  1 P 1.57
O 0.9766 0.0336 0.3533  1 P 1.57


Please write out number 4 again, unchanged.
Be2SbS: relaxed, PBEsol.

Computed properties:
SG = No. 225
V = 60 Å³ per cell
Formation energy without anion corrections = 2.60 eV/f.u.
E_tot = -3.5849 eV/atom
Theoretical density = 4.8 Mg/m³

a b c (Å): 4.3883 4.3883 4.3883
angles (deg): 60.00 60.00 60.00
Last column: nearest neighbours and their distance in Å.
Atoms (fractional coordinates):
Be 0.2500 0.2500 0.2500  4 S 2.69, 4 Sb 2.69
Be 0.7500 0.7500 0.7500  4 S 2.69, 4 Sb 2.69
Sb 0.0000 0.0000 0.0000  8 Be 2.69
S 0.5000 0.5000 0.5000  8 Be 2.69


Question: What is the formula in the first record?
Answer: Mg2CrCu


Question: Which formula does entry 3 have?
Answer: MgAgAu2